A relaxed NaFeMoN3 crystal. Source: the Alexandria database, functional GGA-PBE.

formation energy (no corrections) = -148 meV per atom
SG = P2_1/m
crystal system = monoclinic
VASP energy = -7.746 eV/atom

POSCAR file:
```
NaFeMoN3
1.0
-0.885 2.931 -0.446
-1.546 0.506 6.392
7.965 2.194 -1.375
N Fe Mo Na
6 2 2 2
direct
0.250 0.808 0.427
0.250 0.108 0.842
0.250 0.557 0.877
0.750 0.892 0.158
0.750 0.192 0.573
0.750 0.443 0.123
0.250 0.075 0.612
0.750 0.925 0.388
0.750 0.325 0.872
0.250 0.675 0.128
0.750 0.797 0.809
0.250 0.203 0.191
```